The following is a PBEsol calculation of a relaxed MgHg2Pb2 crystal, from the Alexandria database.

Calculated values
Calculated total energy = -2.205 eV/atom
Energy of formation from the pure elements = -35 meV/atom

Unit cell a=7.456 b=7.456 c=4.699 alpha=90.00 beta=90.00 gamma=90.00
Fractional coordinates of all 10 atoms:
Mg 0.000 0.000 0.000
Mg 0.500 0.500 0.000
Hg 0.141 0.359 0.000
Hg 0.359 0.859 0.000
Hg 0.641 0.141 0.000
Hg 0.859 0.641 0.000
Pb 0.167 0.667 0.500
Pb 0.333 0.167 0.500
Pb 0.667 0.833 0.500
Pb 0.833 0.333 0.500